Record 1
## Sc2GaTc (PBE)

Data for a relaxed structure of Sc2GaTc.

## Properties
The total energy comes out at -110.9 eV/cell. The value obtained for the magnetization is 0.02 μB per cell.

Unit cell a=6.3717 b=7.0025 c=6.3712 alpha=90.00 beta=90.00 gamma=90.00
Space group Imma (No. 74)
Unique sites:
1 Sc 0.2500 0.0017 0.2500 x8
2 Ga 0.0000 0.2500 0.5029 x4
3 Tc 0.0000 0.2500 0.9983 x4

Record 2
## BaTaPtAu (PBE)

Data for a relaxed structure of BaTaPtAu.

## Properties
The total energy comes out at -83.6 eV/cell. The value obtained for the magnetization is 0.00 μB per cell. For the energy above the lowest structure with this stoichiometry, the calculation gives 179 meV per atom.

Unit cell a=6.9148 b=6.9148 c=6.9148 alpha=90.00 beta=90.00 gamma=90.00
Space group F-43m (No. 216)
Unique sites:
1 Ba 0.0000 0.0000 0.0000 x4
2 Ta 0.2500 0.2500 0.2500 x4
3 Pt 0.2500 0.2500 0.7500 x4
4 Au 0.0000 0.0000 0.5000 x4